{
  "formula": "La3RePt",
  "functional": "SCAN",
  "state": "PBEsol geometry",
  "cell": [[5.343, 0.000, 0.000], [0.000, 5.343, 0.000], [0.000, 0.000, 5.343]],
  "species": ["La", "Re", "La", "La", "Pt"],
  "fractional_positions": [[0.000, 0.000, 0.500], [0.000, 0.000, 0.000], [0.500, 0.000, 0.000], [0.000, 0.500, 0.000], [0.500, 0.500, 0.500]],
  "formation_enthalpy_0k_ev_per_atom": 0.06,
  "mass_density_kg_m3": 8689,
  "spacegroup": "Pm-3m",
  "n_ef_per_ev_cell": 4.233
}